A plane-wave DFT calculation with GGA-PBE was carried out for crystalline CdCuIr2 at its relaxed geometry.

Fermi-level density of states (states/eV/cell): 4.197
Energy of formation from the pure elements (meV/atom): 166
Total energy (eV per atom): -5.52

The structure in POSCAR format:
```
CdCuIr2
1.0
-2.276 -3.015 0.061
1.689 -1.238 1.839
-1.362 1.154 6.262
Ir Cu Cd
2 1 1
direct
0.500 0.286 0.214
0.000 0.995 0.005
0.500 0.732 0.768
0.000 0.487 0.512
```

A plane-wave DFT calculation with GGA-PBE was carried out for crystalline CrCdCo2 at its relaxed geometry.

Fermi-level density of states (states/eV/cell): 6.595
Energy of formation from the pure elements (meV/atom): 475
Total energy (eV per atom): -5.71

The structure in POSCAR format:
```
CrCdCo2
1.0
3.861 0.000 0.000
0.000 3.854 0.000
0.000 0.000 3.701
Co Cr Cd
2 1 1
direct
0.500 0.500 0.000
0.000 0.000 0.000
0.500 0.000 0.500
0.000 0.500 0.500
```

A plane-wave DFT calculation with GGA-PBE was carried out for crystalline Ti8Bi2Se at its relaxed geometry.

Uncorrected formation energy (eV per formula unit): -2.26
Fermi-level density of states (states/eV/cell): 13.527
Total energy (eV per atom): -6.97

The structure in POSCAR format:
```
Ti8Bi2Se
1.0
4.832 0.000 0.000
0.000 5.220 0.577
-2.416 -1.335 7.759
Ti Se Bi
8 1 2
direct
0.336 0.890 0.672
0.664 0.110 0.328
0.234 0.333 0.469
0.413 0.460 0.826
0.956 0.746 0.913
0.044 0.254 0.087
0.766 0.667 0.531
0.587 0.540 0.174
0.500 0.000 0.000
0.151 0.794 0.303
0.849 0.206 0.697
```

A plane-wave DFT calculation with GGA-PBE was carried out for crystalline Cs2TeIrI6 at its relaxed geometry.

Uncorrected formation energy (eV per formula unit): -5.59
Fermi-level density of states (states/eV/cell): 5.923
Total energy (eV per atom): -2.86

The structure in POSCAR format:
```
Cs2TeIrI6
1.0
8.432 0.000 0.000
0.000 8.432 0.000
4.216 4.216 5.866
I Ir Cs Te
6 1 2 1
direct
0.233 0.233 0.533
0.770 0.770 0.000
0.230 0.770 0.000
0.230 0.230 0.000
0.767 0.767 0.467
0.770 0.230 0.000
0.000 0.000 0.000
0.250 0.750 0.500
0.750 0.250 0.500
0.500 0.500 0.000
```

Q: Which of these has the lowest total energy?
A: Ti8Bi2Se

Copy entry 4 word for word.
A plane-wave DFT calculation with GGA-PBE was carried out for crystalline Cs2TeIrI6 at its relaxed geometry.

Uncorrected formation energy (eV per formula unit): -5.59
Fermi-level density of states (states/eV/cell): 5.923
Total energy (eV per atom): -2.86

The structure in POSCAR format:
```
Cs2TeIrI6
1.0
8.432 0.000 0.000
0.000 8.432 0.000
4.216 4.216 5.866
I Ir Cs Te
6 1 2 1
direct
0.233 0.233 0.533
0.770 0.770 0.000
0.230 0.770 0.000
0.230 0.230 0.000
0.767 0.767 0.467
0.770 0.230 0.000
0.000 0.000 0.000
0.250 0.750 0.500
0.750 0.250 0.500
0.500 0.500 0.000
```

Q: The highest Fermi-level density of states belongs to which entry?
A: Ti8Bi2Se